This record from the Alexandria database describes a relaxed In3HgPb6 crystal. The functional is PBE.

formation enthalpy at 0 K = 0.0378 eV/atom
energy above the lowest structure with this stoichiometry = 0.000 eV per atom

extended XYZ file:
```
20
Lattice="3.4434 0.0000 0.0000 0.0000 11.9985 -4.8372 0.0000 -0.0227 14.5465" Properties=species:S:1:pos:R:3 pbc="T T T"
Pb 0.8609 10.4493 3.1676
Pb 2.5826 3.2525 11.8087
In 0.8609 5.6227 -0.9731
Pb 2.5826 10.0200 6.3525
Pb 2.5826 6.7014 7.4411
Pb 2.5826 1.5266 6.5417
In 2.5826 7.4575 4.2626
Pb 0.8609 5.2744 2.2682
Pb 0.8609 3.8140 8.7120
In 2.5826 6.3531 10.6824
Hg 2.5826 0.8712 9.7261
In 2.5826 2.8899 0.5107
Pb 2.5826 11.5436 -3.3701
In 0.8609 4.5184 5.4467
Pb 2.5826 8.1619 0.9973
Pb 0.8609 1.9558 3.3568
Hg 0.8609 11.1047 -0.0168
Pb 0.8609 0.4323 13.0794
In 0.8609 9.0859 9.1986
Pb 0.8609 8.7233 -2.0994
```